# 1
Below is LaTc3P after structural relaxation, with properties calculated at the PBEsol level.

Values from the calculation:
DFT formation energy = 0.11 eV per atom
magnetic moment = 0.351 μB/atom
space group = Pm-3m (221)
density = 8.56 g/cm3

abc: 4.481 4.481 4.481
angles: 90.00 90.00 90.00
Atoms (fractional coordinates):
P 0.000 0.000 0.000
Tc 0.000 0.500 0.000
Tc 0.000 0.000 0.500
Tc 0.500 0.000 0.000
La 0.500 0.500 0.500

# 2
Below is Re2MoSe after structural relaxation, with properties calculated at the PBEsol level.

Values from the calculation:
formation energy without anion corrections = 0.549 eV per atom
magnetic moment = 0.000 μB/atom
space group = P2/m (10)
density = 14.93 g/cm3

abc: 2.861 4.527 5.160
angles: 114.35 90.00 90.00
Atoms (fractional coordinates):
Mo 0.000 0.500 0.500
Re 0.000 0.000 0.000
Re 0.500 0.500 0.000
Se 0.500 0.000 0.500

# 3
Below is SnBi3Pd after structural relaxation, with properties calculated at the PBEsol level.

Values from the calculation:
DFT formation energy = 0.28 eV per atom
magnetic moment = 0.000 μB/atom
space group = Pm-3m (221)
density = 9.34 g/cm3

abc: 5.331 5.331 5.331
angles: 90.00 90.00 90.00
Atoms (fractional coordinates):
Bi 0.000 0.500 0.000
Bi 0.000 0.000 0.500
Bi 0.500 0.000 0.000
Pd 0.000 0.000 0.000
Sn 0.500 0.500 0.500

# 4
Below is Fe2AsP after structural relaxation, with properties calculated at the PBEsol level.

Values from the calculation:
DFT formation energy = -0.48 eV per atom
magnetic moment = 0.206 μB/atom
space group = Pmc2_1 (26)
density = 7.61 g/cm3

abc: 3.115 5.221 5.842
angles: 90.00 90.00 90.00
Atoms (fractional coordinates):
Fe 0.500 0.501 0.043
Fe 0.500 0.001 0.957
Fe 0.000 0.506 0.441
Fe 0.000 0.006 0.559
As 0.500 0.692 0.679
As 0.500 0.192 0.321
P 0.000 0.300 0.825
P 0.000 0.800 0.175

# 5
Below is TlCuRh2 after structural relaxation, with properties calculated at the PBEsol level.

Values from the calculation:
DFT formation energy = 0.26 eV per atom
magnetic moment = 0.236 μB/atom
space group = F-43m (216)
density = 13.06 g/cm3

abc: 4.400 4.400 4.400
angles: 60.00 60.00 60.00
Atoms (fractional coordinates):
Cu 0.500 0.500 0.500
Rh 0.000 0.000 0.000
Rh 0.750 0.750 0.750
Tl 0.250 0.250 0.250

# 6
Below is ScTcSCl2 after structural relaxation, with properties calculated at the PBEsol level.

Values from the calculation:
formation energy without anion corrections = -0.213 eV per atom
magnetic moment = 0.903 μB/atom
space group = P4/mmm (123)
density = 3.57 g/cm3

abc: 4.804 4.804 4.957
angles: 90.00 90.00 90.00
Atoms (fractional coordinates):
Sc 0.000 0.000 0.000
S 0.000 0.000 0.500
Tc 0.500 0.500 0.500
Cl 0.000 0.500 0.000
Cl 0.500 0.000 0.000

# 7
Below is La2MnZnRh after structural relaxation, with properties calculated at the PBEsol level.

Values from the calculation:
DFT formation energy = 0.18 eV per atom
magnetic moment = 0.000 μB/atom
space group = P4/mmm (123)
density = 7.05 g/cm3

abc: 4.373 5.196 5.196
angles: 90.00 90.00 90.00
Atoms (fractional coordinates):
Zn 0.500 0.500 0.500
Mn 0.000 0.000 0.000
Rh 0.500 0.000 0.000
La 0.000 0.000 0.500
La 0.000 0.500 0.000

# 8
Below is YTcPt2 after structural relaxation, with properties calculated at the PBEsol level.

Values from the calculation:
DFT formation energy = -0.30 eV per atom
E above lowest polymorph = 0.000 eV/atom
magnetic moment = 0.392 μB/atom
space group = I-4m2 (119)
density = 14.23 g/cm3

abc: 4.048 4.048 5.008
angles: 113.84 113.84 90.00
Atoms (fractional coordinates):
Pt 0.000 0.000 0.000
Pt 0.750 0.250 0.500
Tc 0.500 0.500 0.000
Y 0.250 0.750 0.500

# 9
Below is Mn2MoSe after structural relaxation, with properties calculated at the PBEsol level.

Values from the calculation:
formation energy without anion corrections = 0.245 eV per atom
magnetic moment = 0.511 μB/atom
space group = F-43m (216)
density = 9.18 g/cm3

abc: 4.176 4.176 4.176
angles: 60.00 60.00 60.00
Atoms (fractional coordinates):
Mn 0.000 0.000 0.000
Mn 0.750 0.750 0.750
Mo 0.500 0.500 0.500
Se 0.250 0.250 0.250

# 10
Below is Sc3MoI after structural relaxation, with properties calculated at the PBEsol level.

Values from the calculation:
formation energy without anion corrections = 0.390 eV per atom
magnetic moment = 0.000 μB/atom
space group = Pm-3m (221)
density = 4.60 g/cm3

abc: 5.054 5.054 5.054
angles: 90.00 90.00 90.00
Atoms (fractional coordinates):
I 0.500 0.500 0.500
Sc 0.000 0.500 0.000
Sc 0.000 0.000 0.500
Sc 0.500 0.000 0.000
Mo 0.000 0.000 0.000

# 11
Below is ZrMnFe2 after structural relaxation, with properties calculated at the PBEsol level.

Values from the calculation:
DFT formation energy = 0.17 eV per atom
magnetic moment = 1.787 μB/atom
space group = I4/mmm (139)
density = 7.74 g/cm3

abc: 3.683 3.683 4.838
angles: 112.37 112.37 90.00
Atoms (fractional coordinates):
Fe 0.750 0.250 0.500
Fe 0.250 0.750 0.500
Mn 0.500 0.500 0.000
Zr 0.000 0.000 0.000

# 12
Below is Mg30AlFeO32 after structural relaxation, with properties calculated at the PBEsol level.

Values from the calculation:
formation energy without anion corrections = -2.664 eV per atom
magnetic moment = 0.048 μB/atom
space group = P4/mmm (123)
density = 3.67 g/cm3

abc: 8.419 8.419 8.462
angles: 90.00 90.00 90.00
Atoms (fractional coordinates):
Mg 0.000 0.500 0.000
Mg 0.000 0.500 0.500
Mg 0.500 0.000 0.000
Mg 0.500 0.000 0.500
Mg 0.500 0.500 0.000
Mg 0.500 0.500 0.500
Mg 0.000 0.247 0.253
Mg 0.000 0.247 0.747
Mg 0.000 0.753 0.253
Mg 0.000 0.753 0.747
Mg 0.500 0.249 0.251
Mg 0.500 0.249 0.749
Mg 0.500 0.751 0.251
Mg 0.500 0.751 0.749
Mg 0.247 0.000 0.253
Mg 0.247 0.000 0.747
Mg 0.249 0.500 0.251
Mg 0.249 0.500 0.749
Mg 0.753 0.000 0.253
Mg 0.753 0.000 0.747
Mg 0.751 0.500 0.251
Mg 0.751 0.500 0.749
Mg 0.250 0.250 0.000
Mg 0.249 0.249 0.500
Mg 0.250 0.750 0.000
Mg 0.249 0.751 0.500
Mg 0.750 0.250 0.000
Mg 0.751 0.249 0.500
Mg 0.750 0.750 0.000
Mg 0.751 0.751 0.500
Al 0.000 0.000 0.000
Fe 0.000 0.000 0.500
O 0.239 0.000 0.000
O 0.257 0.000 0.500
O 0.249 0.500 0.000
O 0.251 0.500 0.500
O 0.761 0.000 0.000
O 0.743 0.000 0.500
O 0.751 0.500 0.000
O 0.749 0.500 0.500
O 0.250 0.250 0.250
O 0.250 0.250 0.750
O 0.250 0.750 0.250
O 0.250 0.750 0.750
O 0.750 0.250 0.250
O 0.750 0.250 0.750
O 0.750 0.750 0.250
O 0.750 0.750 0.750
O 0.000 0.000 0.219
O 0.000 0.000 0.781
O 0.000 0.500 0.247
O 0.000 0.500 0.753
O 0.500 0.000 0.247
O 0.500 0.000 0.753
O 0.500 0.500 0.249
O 0.500 0.500 0.751
O 0.000 0.239 0.000
O 0.000 0.257 0.500
O 0.000 0.761 0.000
O 0.000 0.743 0.500
O 0.500 0.249 0.000
O 0.500 0.251 0.500
O 0.500 0.751 0.000
O 0.500 0.749 0.500